The following is a DFT calculation (PBE) of a relaxed structure of K4La3ErS8.

Lattice parameters (Å, degrees): 8.4511 8.8413 8.4514 118.56 120.00 90.00
Atoms (fractional coordinates):
K 0.5000 0.0000 0.5000
K 0.5000 0.0000 0.0000
K 0.0000 0.0000 0.5000
K 0.0000 0.0000 0.0000
S 0.7715 0.2957 0.0240
S 0.2634 0.2902 0.5267
S 0.2285 0.7044 0.4570
S 0.7715 0.2956 0.5430
S 0.7366 0.7098 0.4733
S 0.2285 0.7043 0.9760
S 0.2525 0.2957 0.0240
S 0.7475 0.7043 0.9760
La 0.5000 0.5000 0.5000
La 0.0000 0.5000 0.5000
La 0.5000 0.5000 0.0000
Er 0.0000 0.5000 0.0000

## Properties
E_form (uncorrected): -1.904 eV/atom
V: 28.498 A^3/atom
Electronic total energy: -5.4515 eV/atom
SG: No. 166